(1)
CuTcOs2 after structural relaxation. Source: Alexandria, functional PBE.

Output
The value obtained for the offset from the most stable computed form is 292.6 meV per atom. Its symmetry is Cmmm (65). Its energy relative to the elements is 0.466 eV/atom.

Lattice parameters (Å, degrees): 2.664 2.664 9.068 90.00 90.00 116.96
Sites, in units of the cell vectors:
Cu 0.000 0.000 0.000
Tc 0.000 0.000 0.500
Os 0.500 0.500 0.250
Os 0.500 0.500 0.750

***

(2)
CuTcOs2 after structural relaxation. Source: Alexandria, functional PBE.

Output
The value obtained for the offset from the most stable computed form is 156.6 meV per atom. Its symmetry is I-4m2 (119). Its energy relative to the elements is 0.330 eV/atom.

Lattice parameters (Å, degrees): 4.773 4.773 4.773 133.81 133.81 67.39
Sites, in units of the cell vectors:
Cu 0.000 0.000 0.000
Tc 0.750 0.250 0.500
Os 0.250 0.750 0.500
Os 0.500 0.500 0.000

***

(3)
TlCuTcOs2 after structural relaxation. Source: Alexandria, functional PBE.

Output
Its symmetry is P4/mmm (123). Its energy relative to the elements is 2.822 eV/atom.

Lattice parameters (Å, degrees): 4.956 4.956 4.538 90.00 90.00 90.00
Sites, in units of the cell vectors:
Tl 0.000 0.000 0.000
Cu 0.000 0.000 0.500
Tc 0.500 0.500 0.500
Os 0.000 0.500 0.000
Os 0.500 0.000 0.000

***

(4)
Zr2CuTcOs after structural relaxation. Source: Alexandria, functional PBE.

Output
Its symmetry is P4/mmm (123). Its energy relative to the elements is 1.087 eV/atom.

Lattice parameters (Å, degrees): 4.793 4.793 4.371 90.00 90.00 90.00
Sites, in units of the cell vectors:
Zr 0.000 0.500 0.000
Zr 0.500 0.000 0.000
Cu 0.000 0.000 0.000
Tc 0.500 0.500 0.500
Os 0.000 0.000 0.500

***

(5)
CuTeOs2 after structural relaxation. Source: Alexandria, functional PBE.

Output
Its symmetry is R3m (160). The uncorrected formation energy comes out at 64.9 kJ per mole of atoms.

Lattice parameters (Å, degrees): 8.989 8.989 8.989 18.78 18.78 18.78
Sites, in units of the cell vectors:
Cu 0.000 0.000 0.000
Te 0.243 0.243 0.243
Os 0.488 0.488 0.488
Os 0.745 0.745 0.745

***

(6)
Cu2TeOs after structural relaxation. Source: Alexandria, functional PBE.

Output
Its symmetry is F-43m (216). The uncorrected formation energy comes out at 56.3 kJ per mole of atoms.

Lattice parameters (Å, degrees): 4.442 4.442 4.442 60.00 60.00 60.00
Sites, in units of the cell vectors:
Cu 0.000 0.000 0.000
Cu 0.250 0.250 0.250
Te 0.750 0.750 0.750
Os 0.500 0.500 0.500

***

(7)
CuTe2Os after structural relaxation. Source: Alexandria, functional PBE.

Output
The value obtained for the offset from the most stable computed form is 524.0 meV per atom. Its symmetry is Cmmm (65). The uncorrected formation energy comes out at 80.5 kJ per mole of atoms.

Lattice parameters (Å, degrees): 3.243 3.243 8.700 90.00 90.00 118.20
Sites, in units of the cell vectors:
Cu 0.000 0.000 0.000
Te 0.500 0.500 0.253
Te 0.500 0.500 0.747
Os 0.000 0.000 0.500

***

(8)
CuTe2Os after structural relaxation. Source: Alexandria, functional PBE.

Output
The value obtained for the offset from the most stable computed form is 548.3 meV per atom. Its symmetry is I-4m2 (119). The uncorrected formation energy comes out at 82.8 kJ per mole of atoms.

Lattice parameters (Å, degrees): 5.557 5.557 5.557 137.61 137.61 61.51
Sites, in units of the cell vectors:
Cu 0.000 0.000 0.000
Te 0.500 0.500 0.000
Te 0.750 0.250 0.500
Os 0.250 0.750 0.500

***

(9)
Cu2TeOs after structural relaxation. Source: Alexandria, functional PBE.

Output
Its symmetry is P4/mmm (123). The uncorrected formation energy comes out at 57.0 kJ per mole of atoms.

Lattice parameters (Å, degrees): 3.870 3.870 4.091 90.00 90.00 90.00
Sites, in units of the cell vectors:
Cu 0.000 0.500 0.000
Cu 0.500 0.000 0.000
Te 0.000 0.000 0.500
Os 0.500 0.500 0.500

***

(10)
CuTe2Os after structural relaxation. Source: Alexandria, functional PBE.

Output
The value obtained for the offset from the most stable computed form is 292.9 meV per atom. Its symmetry is P2/m (10). The uncorrected formation energy comes out at 58.2 kJ per mole of atoms.

Lattice parameters (Å, degrees): 3.234 3.256 7.312 90.00 91.78 90.00
Sites, in units of the cell vectors:
Cu 0.000 0.000 0.000
Te 0.473 0.500 0.263
Te 0.527 0.500 0.737
Os 0.000 0.000 0.500

***

(11)
CuTeOs2 after structural relaxation. Source: Alexandria, functional PBE.

Output
Its symmetry is R-3m (166). The uncorrected formation energy comes out at 87.4 kJ per mole of atoms.

Lattice parameters (Å, degrees): 8.268 8.268 8.268 21.11 21.11 21.11
Sites, in units of the cell vectors:
Cu 0.000 0.000 0.000
Te 0.500 0.500 0.500
Os 0.251 0.251 0.251
Os 0.749 0.749 0.749

***

(12)
CuTeOs2 after structural relaxation. Source: Alexandria, functional PBE.

Output
Its symmetry is Cmm2 (35). The uncorrected formation energy comes out at 88.1 kJ per mole of atoms.

Lattice parameters (Å, degrees): 2.881 2.881 9.460 90.00 90.00 119.97
Sites, in units of the cell vectors:
Cu 0.000 0.000 0.000
Te 0.500 0.500 0.271
Os 0.000 0.000 0.546
Os 0.500 0.500 0.770

***

no.,D(E_F) (states/eV/cell),electronic total energy (eV/atom)
1,4.5,-8.7647
2,4.5,-8.9007
3,4.6,-5.0354
4,5.9,-7.4706
5,2.6,-6.7515
6,3.3,-5.0574
7,3.0,-4.5679
8,3.3,-4.5437
9,3.8,-5.0497
10,2.3,-4.7990
11,3.6,-6.5184
12,3.8,-6.5109